No. 1
A plane-wave DFT calculation with meta-GGA SCAN was carried out for a crystal of CdCo2Ni relaxed with PBEsol.

Results
energy above the most stable polymorph in this dataset	0.10	eV per formula unit

Cell: 4.138 4.138 4.138 Å, 60.00 60.00 60.00°
Last column: magnetic moment on the atom in μB.
Element x y z (fractional)
Ni (0.250, 0.250, 0.250)  0.49
Co (0.000, 0.000, 0.000)  2.02
Co (0.750, 0.750, 0.750)  1.80
Cd (0.500, 0.500, 0.500)  -0.06

***

No. 2
A plane-wave DFT calculation with meta-GGA SCAN was carried out for a crystal of BeIrPt relaxed with PBEsol.

Results
energy above the most stable polymorph in this dataset	0.00	eV per formula unit

Cell: 2.750 2.750 5.211 Å, 105.30 105.30 90.00°
Element x y z (fractional)
Be (0.003, 0.003, 0.007)
Ir (0.644, 0.644, 0.287)
Pt (0.353, 0.353, 0.706)

***

No. 3
A plane-wave DFT calculation with meta-GGA SCAN was carried out for a crystal of ZrP2Br relaxed with PBEsol.

Results
energy above the most stable polymorph in this dataset	3.01	eV per formula unit

Cell: 3.651 4.139 5.371 Å, 112.66 109.87 90.00°
Element x y z (fractional)
Br (0.000, 0.500, 0.000)
P (0.758, 0.758, 0.516)
P (0.242, 0.242, 0.484)
Zr (0.500, 0.000, 0.000)

***

No. 4
A plane-wave DFT calculation with meta-GGA SCAN was carried out for a crystal of Tm3Ge13Rh4 relaxed with PBEsol.

Cell: 8.849 8.849 8.849 Å, 90.00 90.00 90.00°
Element x y z (fractional)
Tm (0.000, 0.500, 0.750)
Tm (0.500, 0.250, 0.000)
Tm (0.750, 0.000, 0.500)
Tm (0.000, 0.500, 0.250)
Tm (0.500, 0.750, 0.000)
Tm (0.250, 0.000, 0.500)
Ge (0.500, 0.500, 0.500)
Ge (0.000, 0.000, 0.000)
Ge (0.811, 0.354, 0.500)
Ge (0.646, 0.500, 0.811)
Ge (0.500, 0.189, 0.646)
Ge (0.189, 0.646, 0.500)
Ge (0.354, 0.500, 0.189)
Ge (0.500, 0.811, 0.354)
Ge (0.811, 0.646, 0.500)
Ge (0.646, 0.500, 0.189)
Ge (0.189, 0.354, 0.500)
Ge (0.354, 0.500, 0.811)
Ge (0.500, 0.811, 0.646)
Ge (0.500, 0.189, 0.354)
Ge (0.311, 0.000, 0.854)
Ge (0.146, 0.311, 0.000)
Ge (0.000, 0.146, 0.689)
Ge (0.689, 0.000, 0.146)
Ge (0.854, 0.689, 0.000)
Ge (0.000, 0.854, 0.311)
Ge (0.311, 0.000, 0.146)
Ge (0.146, 0.689, 0.000)
Ge (0.689, 0.000, 0.854)
Ge (0.854, 0.311, 0.000)
Ge (0.000, 0.146, 0.311)
Ge (0.000, 0.854, 0.689)
Rh (0.750, 0.250, 0.750)
Rh (0.250, 0.750, 0.250)
Rh (0.750, 0.750, 0.250)
Rh (0.250, 0.250, 0.750)
Rh (0.250, 0.750, 0.750)
Rh (0.750, 0.250, 0.250)
Rh (0.250, 0.250, 0.250)
Rh (0.750, 0.750, 0.750)

***

Number 1: size of the total moment 4.11 μB per cell, total DFT energy (no corrections) -20.07 eV per atom, DOS(E_F) 0.906 states/eV per atom. Number 2: size of the total moment 0.00 μB per cell, total DFT energy (no corrections) -48.99 eV per atom, DOS(E_F) 0.820 states/eV per atom. Number 3: size of the total moment 0.00 μB per cell, total DFT energy (no corrections) -17.80 eV per atom, DOS(E_F) 0.378 states/eV per atom. Number 4: size of the total moment 0.00 μB per cell, total DFT energy (no corrections) -27.55 eV per atom, DOS(E_F) 0.292 states/eV per atom.